Record 1
Material: TbTmP
Method: DFT, PBE
State: optimized geometry

a = 3.8801 Å, b = 3.8801 Å, c = 6.3129 Å
α = 90.00°, β = 90.00°, γ = 120.00°
With the nearest neighbours (Å) after each atom.
Space group P3m1 (No. 156)
One atom of each set of equivalent atoms:
1 Tb 0.0000 0.0000 0.0000  3 P 2.76
2 Tm 0.3333 0.6667 0.5005  3 P 2.72
3 P 0.6667 0.3333 0.2557  3 Tm 2.72, 3 Tb 2.76

relative energy among the computed polymorphs: 0.00 eV per formula unit
density of states at the Fermi level: 1.02 states/eV/atom
size of the total moment: 0.1 Bohr magnetons per cell
energy of formation from the pure elements: -0.959 eV/atom

***

Record 2
Material: TbTmP
Method: DFT, PBE
State: optimized geometry

a = 4.6688 Å, b = 4.6688 Å, c = 22.8961 Å
α = 90.00°, β = 90.00°, γ = 120.00°
With the nearest neighbours (Å) after each atom.
Space group R-3m (No. 166, hexagonal axes)
One atom of each set of equivalent atoms:
1 Tb 0.0000 0.0000 0.1252  4 P 2.88-2.92
2 Tm 0.0000 0.0000 0.3753  4 P 2.81-2.84
3 P 0.0000 0.0000 0.2527  4 Tm 2.81-2.84, 4 Tb 2.88-2.92

relative energy among the computed polymorphs: 0.47 eV per formula unit
density of states at the Fermi level: 0.78 states/eV/atom
size of the total moment: 0.0 Bohr magnetons per cell
energy of formation from the pure elements: -0.803 eV/atom

***

Record 3
Material: TbTm3P4
Method: DFT, PBE
State: optimized geometry

a = 7.9373 Å, b = 11.2225 Å, c = 3.9690 Å
α = 90.00°, β = 90.00°, γ = 90.00°
With the nearest neighbours (Å) after each atom.
Space group Cmmm (No. 65)
One atom of each set of equivalent atoms:
1 Tb 0.0000 0.0000 0.0000  6 P 2.82-2.83
2 Tm 0.0000 0.5000 0.0000  6 P 2.79
3 Tm 0.2500 0.2500 0.5000  6 P 2.81
4 P 0.0000 0.2517 0.0000  5 Tm 2.79-2.81, 1 Tb 2.82
5 P 0.2466 0.5000 0.5000  4 Tm 2.79-2.81, 2 Tb 2.83

density of states at the Fermi level: 0.12 states/eV/atom
size of the total moment: 0.0 Bohr magnetons per cell
energy of formation from the pure elements: -1.606 eV/atom

***

Record 4
Material: TbTm2P
Method: DFT, PBE
State: optimized geometry

a = 3.6830 Å, b = 3.6830 Å, c = 30.1811 Å
α = 90.00°, β = 90.00°, γ = 120.00°
With the nearest neighbours (Å) after each atom.
Space group R-3m (No. 166, hexagonal axes)
One atom of each set of equivalent atoms:
1 Tb 0.0000 0.0000 0.0000  2 Tm 3.42, 6 Tb 3.68
2 Tm 0.0000 0.0000 0.1132  3 P 2.67
3 P 0.0000 0.0000 0.5000  6 Tm 2.67

density of states at the Fermi level: 0.85 states/eV/atom
size of the total moment: 3.1 Bohr magnetons per cell
energy of formation from the pure elements: -0.490 eV/atom